1.
Computed, not measured: a relaxed MgGaGeAu crystal at the PBE level of DFT.

Calculated values
Crystal system ... cubic
Formation energy from the elements ... -0.13 eV/atom
D(E_F) ... 0.223 states/eV/atom
E_tot ... -0.1197 hartree per atom
Calculated density ... 8.186 g/cm3

Cell lengths 4.7075, 4.7075, 4.7075 Å; angles 60.00, 60.00, 60.00 degrees
Sites, in units of the cell vectors:
Ge 0.0000 0.0000 0.0000
Au 0.5000 0.5000 0.5000
Mg 0.2500 0.2500 0.2500
Ga 0.7500 0.7500 0.7500

2.
Computed, not measured: a relaxed Na2Ga4Ge3Au crystal at the PBE level of DFT.

Calculated values
Crystal system ... tetragonal
Formation energy from the elements ... -0.13 eV/atom
D(E_F) ... 0.318 states/eV/atom
E_tot ... -0.1220 hartree per atom
Calculated density ... 5.771 g/cm3

Cell lengths 4.4460, 4.4460, 10.7692 Å; angles 90.00, 90.00, 90.00 degrees
Sites, in units of the cell vectors:
Ge 0.5000 0.0000 0.8684
Ga 0.5000 0.5000 0.0000
Na 0.0000 0.5000 0.7362
Ge 0.0000 0.0000 0.5000
Au 0.5000 0.5000 0.5000
Ga 0.0000 0.0000 0.0000
Ge 0.0000 0.5000 0.1316
Ga 0.0000 0.5000 0.3647
Na 0.5000 0.0000 0.2638
Ga 0.5000 0.0000 0.6353

| no. | total moment (μB per formula unit) |
| --- | --- |
| 1 | 0.00 |
| 2 | 0.00 |